<a>
VASP calculation (PBE) on YGeCl3 after structural relaxation.

```
YGeCl3
1.0
5.328 0.000 0.000
0.000 5.328 0.000
0.000 0.000 5.328
Y Ge Cl
1 1 3
direct
0.000 0.000 0.000
0.500 0.500 0.500
0.000 0.500 0.000
0.000 0.000 0.500
0.500 0.000 0.000
```

Values from the calculation:
- M_tot: 2.00 μB per cell
- Density of states at the Fermi level: 1.46 states/eV per atom
- SG: Pm-3m

<b>
VASP calculation (PBE) on YGeCl3 after structural relaxation.

```
YGeCl3
1.0
5.194 0.000 0.000
0.000 5.194 0.000
0.000 0.000 5.194
Y Ge Cl
1 1 3
direct
0.500 0.500 0.500
0.000 0.000 0.000
0.000 0.500 0.000
0.000 0.000 0.500
0.500 0.000 0.000
```

Values from the calculation:
- M_tot: 1.73 μB per cell
- Density of states at the Fermi level: 1.36 states/eV per atom
- SG: Pm-3m

Compare the structures above. Which one is the least stable? <b> is.